## CoIrRh2 (PBE)

Data for CoIrRh2 after structural relaxation.

Calculated values
* energy relative to the lowest polymorph listed for this composition: 408.0 meV/atom
* raw total energy: -7.2373 eV per atom
* energy relative to the elements: 430 meV/atom
* DOS at the Fermi energy: 43.69 states/eV/cell

abc: 6.049 6.049 6.049
angles: 90.00 90.00 90.00
Space group Fm-3m (No. 225)
Unique sites:
Co  0.000  0.000  0.000 [4 per cell]
Ir  0.000  0.000  0.500 [4 per cell]
Rh  0.250  0.250  0.250 [8 per cell]

=====

## Co2IrRh4 (PBE)

Data for Co2IrRh4 after structural relaxation.

Calculated values
* energy relative to the lowest polymorph listed for this composition: 0.0 meV/atom
* raw total energy: -7.1905 eV per atom
* energy relative to the elements: 306 meV/atom
* DOS at the Fermi energy: 28.57 states/eV/cell

abc: 5.271 5.271 7.380
angles: 90.00 90.00 90.00
Space group I4/mmm (No. 139)
Unique sites:
Co  0.000  0.500  0.000 [4 per cell]
Ir  0.000  0.000  0.000 [2 per cell]
Rh  0.250  0.250  0.250 [8 per cell]

=====

Which of these has the lowest energy relative to the lowest polymorph listed for this composition?
Co2IrRh4